Entry 1:
DFT (GGA-PBE) results for a relaxed CsLiSm2S4 crystal.

It has space group Cmcm (No. 63), with a = 4.163 Å, b = 14.139 Å, c = 14.336 Å, α = 90.00°, β = 90.00° and γ = 90.00°. The inequivalent atoms are Cs at (0.000, 0.104, 0.250), Li at (0.000, 0.173, 0.750), Sm at (0.000, 0.366, 0.059), S at (0.000, 0.000, 0.000), S at (0.000, 0.257, 0.604) and S at (0.000, 0.411, 0.250).

The value obtained for the density is 4.48 g/cm3. Its crystal system is orthorhombic. The value obtained for the formation energy from raw total energies is -1.827 eV/atom. The value obtained for the volume is 843.8 Å³/cell. The value obtained for the total energy is -5.417 eV per atom.


Entry 2:
DFT (GGA-PBE) results for a relaxed Ca2Cu3As4Pt crystal.

It has space group P-4m2 (No. 115), with a = 4.302 Å, b = 4.302 Å, c = 10.015 Å, α = 90.00°, β = 90.00° and γ = 90.00°. The inequivalent atoms are Ca at (0.000, 0.500, 0.249), Cu at (0.000, 0.000, 0.000), Cu at (0.000, 0.500, 0.627), As at (0.000, 0.000, 0.500), As at (0.000, 0.500, 0.864), As at (0.500, 0.500, 0.500) and Pt at (0.500, 0.500, 0.000).

The value obtained for the density is 6.86 g/cm3. Its crystal system is tetragonal. The value obtained for the volume is 185.4 Å³/cell. As for the energy relative to the elements: -5.39 eV/f.u. The value obtained for the total energy is -4.632 eV per atom.


Entry 3:
DFT (GGA-PBE) results for a relaxed Pm2NdErBi4 crystal.

It has space group P2/m (No. 10), with a = 7.888 Å, b = 4.558 Å, c = 7.889 Å, α = 90.00°, β = 109.49° and γ = 90.00°. The inequivalent atoms are Pm at (0.000, 0.000, 0.000), Pm at (0.500, 0.500, 0.000), Nd at (0.000, 0.500, 0.500), Er at (0.500, 0.000, 0.500), Bi at (0.254, 0.000, 0.748) and Bi at (0.257, 0.500, 0.255).

The value obtained for the density is 8.93 g/cm3. Its crystal system is monoclinic. The value obtained for the volume is 267.4 Å³/cell. As for the energy relative to the elements: -7.24 eV/f.u. The value obtained for the total energy is -5.200 eV per atom.


Entry 4:
DFT (GGA-PBE) results for a relaxed YTi2BeBr crystal.

It has space group P4/mmm (No. 123), with a = 4.656 Å, b = 4.656 Å, c = 5.268 Å, α = 90.00°, β = 90.00° and γ = 90.00°. The inequivalent atoms are Y at (0.000, 0.000, 0.000), Ti at (0.000, 0.500, 0.500), Be at (0.500, 0.500, 0.000) and Br at (0.000, 0.000, 0.500).

The value obtained for the density is 3.98 g/cm3. Its crystal system is tetragonal. The value obtained for the formation energy from raw total energies is 0.630 eV/atom. The value obtained for the volume is 114.2 Å³/cell. The value obtained for the total energy is -4.900 eV per atom.


Entry 5:
DFT (GGA-PBE) results for a relaxed Nd5Tm2Th3 crystal.

It has space group C2/m (No. 12), with a = 11.460 Å, b = 5.082 Å, c = 11.410 Å, α = 90.00°, β = 90.19° and γ = 90.00°. The inequivalent atoms are Nd at (0.000, 0.000, 0.000), Nd at (0.198, 0.500, 0.897), Nd at (0.199, 0.000, 0.400), Tm at (0.098, 0.500, 0.206), Th at (0.000, 0.500, 0.500) and Th at (0.097, 0.000, 0.699).

The value obtained for the density is 8.77 g/cm3. Its crystal system is monoclinic. The value obtained for the volume is 664.5 Å³/cell. As for the energy relative to the elements: 0.50 eV/f.u. The value obtained for the total energy is -5.454 eV per atom.


Entry 6:
DFT (GGA-PBE) results for a relaxed MgSn2Pb crystal.

It has space group P4/mmm (No. 123), with a = 4.577 Å, b = 4.577 Å, c = 5.166 Å, α = 90.00°, β = 90.00° and γ = 90.00°. The inequivalent atoms are Mg at (0.000, 0.000, 0.000), Sn at (0.000, 0.500, 0.500) and Pb at (0.500, 0.500, 0.000).

The value obtained for the density is 7.19 g/cm3. Its crystal system is tetragonal. The value obtained for the volume is 108.2 Å³/cell. As for the energy relative to the elements: 0.02 eV/f.u. The value obtained for the total energy is -3.323 eV per atom.


Entry 7:
DFT (GGA-PBE) results for a relaxed CaBeBr2 crystal.

It has space group F-43m (No. 216), with a = 7.511 Å, b = 7.511 Å, c = 7.511 Å, α = 90.00°, β = 90.00° and γ = 90.00°. The inequivalent atoms are Ca at (0.000, 0.000, 0.000), Be at (0.250, 0.250, 0.250), Br at (0.000, 0.000, 0.500) and Br at (0.250, 0.250, 0.750).

The value obtained for the density is 3.27 g/cm3. Its crystal system is cubic. The value obtained for the formation energy from raw total energies is -0.212 eV/atom. The value obtained for the volume is 423.7 Å³/cell. The value obtained for the total energy is -2.481 eV per atom.


Entry 8:
DFT (GGA-PBE) results for a relaxed TmZn2Cd crystal.

It has space group P4/mmm (No. 123), with a = 4.430 Å, b = 4.430 Å, c = 4.162 Å, α = 90.00°, β = 90.00° and γ = 90.00°. The inequivalent atoms are Tm at (0.000, 0.000, 0.000), Zn at (0.000, 0.500, 0.500) and Cd at (0.500, 0.500, 0.000).

The value obtained for the density is 8.38 g/cm3. Its crystal system is tetragonal. The value obtained for the volume is 81.7 Å³/cell. As for the energy relative to the elements: -0.78 eV/f.u. The value obtained for the total energy is -2.178 eV per atom.


Entry 9:
DFT (GGA-PBE) results for a relaxed LaCr2PbSe crystal.

It has space group P4/mmm (No. 123), with a = 5.096 Å, b = 5.096 Å, c = 5.890 Å, α = 90.00°, β = 90.00° and γ = 90.00°. The inequivalent atoms are La at (0.000, 0.000, 0.000), Cr at (0.000, 0.500, 0.500), Pb at (0.500, 0.500, 0.500) and Se at (0.500, 0.500, 0.000).

The value obtained for the density is 5.74 g/cm3. Its crystal system is tetragonal. The value obtained for the formation energy from raw total energies is 0.665 eV/atom. The value obtained for the volume is 153.0 Å³/cell. The value obtained for the total energy is -5.609 eV per atom.


Entry 10:
DFT (GGA-PBE) results for a relaxed Ba3Li2UTe6 crystal.

It has space group P-3m1 (No. 164), with a = 8.2653 Å, b = 8.2653 Å, c = 8.7518 Å, α = 90.00°, β = 90.00° and γ = 120.00°. The inequivalent atoms are Ba at (0.0000, 0.0000, 0.0000), Ba at (0.3333, 0.6667, 0.5866), Li at (0.3333, 0.6667, 0.1576), U at (0.0000, 0.0000, 0.5000) and Te at (0.1677, 0.3354, 0.2892).

The value obtained for the density is 4.58 g/cm3. Its crystal system is trigonal. The value obtained for the formation energy from raw total energies is -1.102 eV/atom. The value obtained for the volume is 517.8 Å³/cell. The value obtained for the total energy is -4.413 eV per atom.


Entry 11:
DFT (GGA-PBE) results for a relaxed Nb2SiAs2 crystal.

It has space group P4/mmm (No. 123), with a = 2.709 Å, b = 2.709 Å, c = 13.667 Å, α = 90.00°, β = 90.00° and γ = 90.00°. The inequivalent atoms are Nb at (0.000, 0.000, 0.187), Si at (0.000, 0.000, 0.000) and As at (0.000, 0.000, 0.381).

The value obtained for the density is 6.02 g/cm3. Its crystal system is tetragonal. The value obtained for the formation energy from raw total energies is 0.462 eV/atom. The value obtained for the volume is 100.3 Å³/cell. The value obtained for the total energy is -6.510 eV per atom.


Entry 12:
DFT (GGA-PBE) results for a relaxed Sm6Ga5Ag crystal.

It has space group P2/m (No. 10), with a = 5.189 Å, b = 7.331 Å, c = 8.204 Å, α = 90.00°, β = 108.31° and γ = 90.00°. The inequivalent atoms are Sm at (0.000, 0.247, 0.000), Sm at (0.332, 0.249, 0.664), Ga at (0.162, 0.500, 0.324), Ga at (0.166, 0.000, 0.331), Ga at (0.500, 0.000, 0.000) and Ag at (0.500, 0.500, 0.000).

The value obtained for the density is 7.62 g/cm3. Its crystal system is monoclinic. The value obtained for the volume is 296.2 Å³/cell. As for the energy relative to the elements: -6.17 eV/f.u. The value obtained for the total energy is -4.373 eV per atom.